Entry 1:
DFT (PBE) results for crystalline KCrMo at its relaxed geometry.

Results
Total DFT energy (no corrections) = -4.48 eV/atom
Relative energy among the computed polymorphs = 1704.6 meV per atom
Size of the total moment = 10.0 μB per cell

Unit cell a=5.4000 b=5.4000 c=5.4000 alpha=60.00 beta=60.00 gamma=60.00
Each line ends with the local moment (μB).
Sites, in units of the cell vectors:
Cr (0.5000, 0.5000, 0.5000)  4.20
Mo (0.0000, 0.0000, 0.0000)  3.78
K (0.2500, 0.2500, 0.2500)  0.07

=====

Entry 2:
DFT (PBE) results for crystalline GaPtRh2 at its relaxed geometry.

Results
Total DFT energy (no corrections) = -6.29 eV/atom
Size of the total moment = 0.0 μB per cell

Unit cell a=3.7355 b=3.9555 c=3.9555 alpha=90.00 beta=90.00 gamma=90.00
Sites, in units of the cell vectors:
Pt (0.5000, 0.0000, 0.0000)
Rh (0.0000, 0.5000, 0.0000)
Rh (0.0000, 0.0000, 0.5000)
Ga (0.5000, 0.5000, 0.5000)

=====

Q: Number 2 is which compound?
A: GaPtRh2

=====

Q: Among the records above, which one has the lowest size of the total moment?
A: GaPtRh2

=====

Q: Which of these has the lowest size of the total moment?
A: GaPtRh2